[1]
# CrCoNO2 | Alexandria | PBEsol | relaxed
data_CrCoNO2
_chemical_formula_sum 'Cr1 Co1 N1 O2'
_cell_length_a 3.7322
_cell_length_b 3.7322
_cell_length_c 3.4072
_cell_angle_alpha 90.00
_cell_angle_beta 90.00
_cell_angle_gamma 90.00
_space_group_name_H-M_alt 'P 4/m m m'
_space_group_IT_number 123
_space_group_name_Hall '-P 4 2'
loop_
_atom_site_label
_atom_site_type_symbol
_atom_site_fract_x
_atom_site_fract_y
_atom_site_fract_z
_atom_site_occupancy
Cr1 Cr 0.0000 0.0000 0.0000 1
Co1 Co 0.5000 0.5000 0.5000 1
N1 N 0.5000 0.5000 0.0000 1
O1 O 0.0000 0.5000 0.5000 1
# - final energy (eV/f.u.) = -37.034

[2]
# Li2CoW | Alexandria | PBEsol | relaxed
data_Li2CoW
_chemical_formula_sum 'Li2 Co1 W1'
_cell_length_a 2.5792
_cell_length_b 3.6865
_cell_length_c 5.7255
_cell_angle_alpha 90.00
_cell_angle_beta 90.00
_cell_angle_gamma 90.00
_space_group_name_H-M_alt 'P m m 2'
_space_group_IT_number 25
_space_group_name_Hall 'P 2 -2'
loop_
_atom_site_label
_atom_site_type_symbol
_atom_site_fract_x
_atom_site_fract_y
_atom_site_fract_z
_atom_site_occupancy
Li1 Li 0.0000 0.0000 0.0000 1
Li2 Li 0.5000 0.5000 0.2325 1
Co1 Co 0.5000 0.5000 0.7169 1
W1 W 0.0000 0.0000 0.5400 1
# - ΔE_f (kJ/mol of formula units) = 133.9
# - final energy (eV/f.u.) = -24.091

[3]
# SrSbTe2As | Alexandria | PBEsol | relaxed
data_SrSbTe2As
_chemical_formula_sum 'Sr1 Sb1 Te2 As1'
_cell_length_a 5.9190
_cell_length_b 5.9190
_cell_length_c 6.0137
_cell_angle_alpha 90.00
_cell_angle_beta 90.00
_cell_angle_gamma 90.00
_space_group_name_H-M_alt 'P 4/m m m'
_space_group_IT_number 123
_space_group_name_Hall '-P 4 2'
loop_
_atom_site_label
_atom_site_type_symbol
_atom_site_fract_x
_atom_site_fract_y
_atom_site_fract_z
_atom_site_occupancy
Sr1 Sr 0.0000 0.0000 0.0000 1
Sb1 Sb 0.0000 0.0000 0.5000 1
Te1 Te 0.0000 0.5000 0.0000 1
As1 As 0.5000 0.5000 0.5000 1
# - final energy (eV/f.u.) = -13.981

[4]
# Sr2YIn | Alexandria | PBEsol | relaxed
data_Sr2YIn
_chemical_formula_sum 'Sr6 Y3 In3'
_cell_length_a 3.8074
_cell_length_b 3.8074
_cell_length_c 34.8835
_cell_angle_alpha 90.00
_cell_angle_beta 90.00
_cell_angle_gamma 120.00
_space_group_name_H-M_alt 'R -3 m'
_space_group_IT_number 166
_space_group_name_Hall '-R 3 2"'
loop_
_atom_site_label
_atom_site_type_symbol
_atom_site_fract_x
_atom_site_fract_y
_atom_site_fract_z
_atom_site_occupancy
Sr1 Sr 0.0000 0.0000 0.2415 1
Y1 Y 0.0000 0.0000 0.0000 1
In1 In 0.0000 0.0000 0.5000 1
# - ΔE_f (kJ/mol of formula units) = 9.2
# - final energy (eV/f.u.) = -13.390

[5]
# TbCoSi | Alexandria | PBEsol | relaxed
data_TbCoSi
_chemical_formula_sum 'Tb2 Co2 Si2'
_cell_length_a 3.9237
_cell_length_b 3.9237
_cell_length_c 6.6007
_cell_angle_alpha 90.00
_cell_angle_beta 90.00
_cell_angle_gamma 90.00
_space_group_name_H-M_alt 'P 4/n m m'
_space_group_IT_number 129
loop_
_space_group_symop_operation_xyz
'x,y,z'
'-x,-y,-z'
'-y+1/2,x,z'
'y+1/2,-x,-z'
'-x+1/2,-y+1/2,z'
'x+1/2,y+1/2,-z'
'y,-x+1/2,z'
'-y,x+1/2,-z'
'x+1/2,-y,-z'
'-x+1/2,y,z'
'-y,-x,-z'
'y,x,z'
'-x,y+1/2,-z'
'x,-y+1/2,z'
'y+1/2,x+1/2,-z'
'-y+1/2,-x+1/2,z'
loop_
_atom_site_label
_atom_site_type_symbol
_atom_site_fract_x
_atom_site_fract_y
_atom_site_fract_z
_atom_site_occupancy
Tb1 Tb 0.2500 0.2500 0.1809 1
Co1 Co 0.2500 0.7500 0.5000 1
Si1 Si 0.2500 0.2500 0.6852 1
# - final energy (eV/f.u.) = -20.890

[6]
# SrTa2Ag | Alexandria | PBEsol | relaxed
data_SrTa2Ag
_chemical_formula_sum 'Sr2 Ta4 Ag2'
_cell_length_a 9.8020
_cell_length_b 2.9468
_cell_length_c 6.2630
_cell_angle_alpha 90.00
_cell_angle_beta 98.75
_cell_angle_gamma 90.00
_space_group_name_H-M_alt 'C 1 m 1'
_space_group_IT_number 8
_space_group_name_Hall 'C -2y'
loop_
_atom_site_label
_atom_site_type_symbol
_atom_site_fract_x
_atom_site_fract_y
_atom_site_fract_z
_atom_site_occupancy
Sr1 Sr 0.0000 0.0000 0.0000 1
Ta1 Ta 0.0187 0.5000 0.4794 1
Ta2 Ta 0.2816 0.5000 0.3774 1
Ag1 Ag 0.2392 0.0000 0.7514 1
# - ΔE_f (kJ/mol of formula units) = 254.9
# - energy relative to the lowest polymorph listed for this composition (kJ/mol of atoms) = 1.2
# - final energy (eV/f.u.) = -27.612

no.,theoretical density (g/cm³)
1,5.491
2,7.829
3,4.252
4,4.311
5,8.038
6,10.353